(1)
First-principles (PBE) data for a relaxed SiAsW crystal, as listed in the Alexandria database.

Structure (POSCAR):
```
SiAsW
1.0
3.1187 0.0000 0.0000
-1.5593 2.7008 0.0000
0.0000 0.0000 5.7310
Si As W
1 1 1
Cartesian
0.0000 0.0000 0.0000
1.5593 0.9003 3.6795
0.0000 1.8006 1.8252
```

Values from the calculation:
**Energy above the lowest structure with this stoichiometry**: 206 meV/atom
**ρ**: 9.87 g/cm3
**Total magnetization**: 0.00 μB/atom
**E_form (uncorrected)**: 12 kJ per mole of atoms
**SG**: No. 156

=====

(2)
First-principles (PBE) data for a relaxed LaDyRu crystal, as listed in the Alexandria database.

Structure (POSCAR):
```
LaDyRu
1.0
0.0000 3.4527 3.4527
3.4527 0.0000 3.4527
3.4527 3.4527 0.0000
La Dy Ru
1 1 1
Cartesian
0.0000 0.0000 0.0000
3.4527 3.4527 3.4527
1.7264 1.7264 1.7264
```

Values from the calculation:
**Energy above the lowest structure with this stoichiometry**: 35 meV/atom
**ρ**: 8.12 g/cm3
**Total magnetization**: 0.00 μB/atom
**ΔH_f (0 K)**: -0.23 eV/atom
**SG**: No. 216